1.
## ReNiGe2B (PBE)

Data for a relaxed ReNiGe2B crystal.

a = 4.790 Å, b = 4.790 Å, c = 4.118 Å
α = 90.00°, β = 90.00°, γ = 90.00°
Space group P4/mmm (No. 123)
Inequivalent atoms, fractional coordinates:
Re 0.000 0.000 0.000 (multiplicity 1)
Ni 0.500 0.500 0.500 (multiplicity 1)
Ge 0.000 0.500 0.000 (multiplicity 2)
B 0.000 0.000 0.500 (multiplicity 1)

Computed properties:
energy: -29.16 eV/cell
theoretical density: 7.05 g cm⁻³

=====

2.
## Pm7Dy12Er (PBE)

Data for a relaxed Pm7Dy12Er crystal.

a = 11.295 Å, b = 11.295 Å, c = 11.295 Å
α = 90.00°, β = 90.00°, γ = 90.00°
Space group Im-3m (No. 229)
Inequivalent atoms, fractional coordinates:
Pm 0.000 0.000 0.500 (multiplicity 6)
Pm 0.250 0.250 0.250 (multiplicity 8)
Dy 0.000 0.246 0.246 (multiplicity 24)
Er 0.000 0.000 0.000 (multiplicity 2)

Computed properties:
energy: -160.07 eV/cell
theoretical density: 7.22 g cm⁻³

=====

3.
## BeNi2P (PBE)

Data for a relaxed BeNi2P crystal.

a = 5.068 Å, b = 5.061 Å, c = 3.127 Å
α = 90.00°, β = 90.17°, γ = 90.00°
Space group C2/m (No. 12)
Inequivalent atoms, fractional coordinates:
Be 0.000 0.000 0.000 (multiplicity 2)
Ni 0.250 0.250 0.500 (multiplicity 4)
P 0.000 0.500 0.000 (multiplicity 2)

Computed properties:
energy: -44.13 eV/cell
theoretical density: 6.52 g cm⁻³

=====

4.
## TlP2 (PBE)

Data for a relaxed TlP2 crystal.

a = 11.961 Å, b = 3.309 Å, c = 8.626 Å
α = 90.00°, β = 122.37°, γ = 90.00°
Space group C2/m (No. 12)
Inequivalent atoms, fractional coordinates:
Tl 0.192 0.000 0.162 (multiplicity 4)
P 0.008 0.500 0.749 (multiplicity 4)
P 0.073 0.000 0.453 (multiplicity 4)

Computed properties:
energy: -52.30 eV/cell
theoretical density: 6.14 g cm⁻³

=====

5.
## NaSeBrN2 (PBE)

Data for a relaxed NaSeBrN2 crystal.

a = 4.499 Å, b = 4.499 Å, c = 5.917 Å
α = 90.00°, β = 90.00°, γ = 90.00°
Space group P4/mmm (No. 123)
Inequivalent atoms, fractional coordinates:
Na 0.000 0.000 0.000 (multiplicity 1)
Se 0.000 0.000 0.500 (multiplicity 1)
Br 0.500 0.500 0.500 (multiplicity 1)
N 0.000 0.500 0.000 (multiplicity 2)

Computed properties:
theoretical density: 2.91 g cm⁻³
formation energy from raw total energies: 1.877 eV/atom

=====

6.
## AgAuCl (PBE)

Data for a relaxed AgAuCl crystal.

a = 6.534 Å, b = 6.534 Å, c = 6.534 Å
α = 90.00°, β = 90.00°, γ = 90.00°
Space group F-43m (No. 216)
Inequivalent atoms, fractional coordinates:
Ag 0.000 0.000 0.000 (multiplicity 4)
Au 0.250 0.250 0.250 (multiplicity 4)
Cl 0.000 0.000 0.500 (multiplicity 4)

Computed properties:
theoretical density: 8.10 g cm⁻³
formation energy from raw total energies: 0.211 eV/atom

=====

7.
## CuRu2Rh (PBE)

Data for a relaxed CuRu2Rh crystal.

a = 8.892 Å, b = 2.685 Å, c = 4.646 Å
α = 90.00°, β = 99.68°, γ = 90.00°
Space group Cm (No. 8)
Inequivalent atoms, fractional coordinates:
Cu 0.000 0.000 0.000 (multiplicity 2)
Ru 0.001 0.500 0.491 (multiplicity 2)
Ru 0.254 0.500 0.268 (multiplicity 2)
Rh 0.249 0.000 0.768 (multiplicity 2)

Computed properties:
energy: -58.69 eV/cell
theoretical density: 11.19 g cm⁻³

=====

8.
## Ba2YCu4O6 (PBE)

Data for a relaxed Ba2YCu4O6 crystal.

a = 3.800 Å, b = 27.415 Å, c = 3.914 Å
α = 90.00°, β = 90.00°, γ = 90.00°
Space group Cmmm (No. 65)
Inequivalent atoms, fractional coordinates:
Ba 0.000 0.144 0.000 (multiplicity 4)
Y 0.000 0.000 0.000 (multiplicity 2)
Cu 0.000 0.290 0.500 (multiplicity 4)
Cu 0.000 0.439 0.500 (multiplicity 4)
O 0.000 0.219 0.500 (multiplicity 4)
O 0.000 0.361 0.500 (multiplicity 4)
O 0.000 0.449 0.000 (multiplicity 4)

Computed properties:
theoretical density: 5.81 g cm⁻³
formation energy from raw total energies: -1.494 eV/atom